1.
Here is an optimized crystal structure of LiEr2Zn7 from Alexandria via LeMat-Bulk. Energies are from GGA-PBE.

Cell and atoms, written as POSCAR:
```
LiEr2Zn7
1.0
4.0493 0.0000 0.0000
0.0000 4.0493 0.0000
0.0000 0.0000 11.0572
Li Er Zn
1 2 7
Cartesian
0.0000 0.0000 0.0000
0.0000 2.0247 8.1952
2.0247 0.0000 2.8621
0.0000 0.0000 5.5286
0.0000 2.0247 1.5680
0.0000 2.0247 4.0080
2.0247 0.0000 7.0492
2.0247 0.0000 9.4892
2.0247 2.0247 0.0000
2.0247 2.0247 5.5286
```

Properties
* ΔE_f: -0.2605 eV/atom

=====

2.
Here is an optimized crystal structure of LiErZr from Alexandria via LeMat-Bulk. Energies are from GGA-PBE.

Cell and atoms, written as POSCAR:
```
LiErZr
1.0
3.2671 0.0000 0.0000
-1.6336 2.8294 0.0000
0.0000 0.0000 8.1117
Li Er Zr
1 1 1
Cartesian
0.0000 0.0000 0.0000
0.0000 1.8863 5.2397
1.6336 0.9431 2.6459
```

Properties
* ΔE_f: 0.1714 eV/atom
* relative energy among the computed polymorphs: 1.677 kcal/mol of atoms

=====

3.
Here is an optimized crystal structure of LiErZr from Alexandria via LeMat-Bulk. Energies are from GGA-PBE.

Cell and atoms, written as POSCAR:
```
LiErZr
1.0
3.3284 0.0000 0.0000
0.0000 3.3284 0.0000
0.0000 0.0000 13.0482
Li Er Zr
2 2 2
Cartesian
0.0000 0.0000 0.0000
1.6642 1.6642 6.5241
0.0000 0.0000 8.8320
1.6642 1.6642 2.3079
0.0000 0.0000 4.4754
1.6642 1.6642 10.9995
```

Properties
* ΔE_f: 0.1345 eV/atom
* relative energy among the computed polymorphs: 0.826 kcal/mol of atoms

=====

4.
Here is an optimized crystal structure of LiErZr from Alexandria via LeMat-Bulk. Energies are from GGA-PBE.

Cell and atoms, written as POSCAR:
```
LiErZr
1.0
3.3711 0.0000 0.0000
-0.0053 5.2043 0.0000
-1.6653 -0.8953 8.2046
Li Er Zr
2 2 2
Cartesian
0.0056 0.9030 1.1204
1.6948 3.4060 7.0842
0.0134 0.8580 6.5339
1.6871 3.4510 1.6707
0.0031 3.4590 4.4450
1.6973 0.8500 3.7596
```

Properties
* ΔE_f: 0.0987 eV/atom
* relative energy among the computed polymorphs: 0.000 kcal/mol of atoms

=====

5.
Here is an optimized crystal structure of Er5Lu from Alexandria via LeMat-Bulk. Energies are from GGA-PBE.

Cell and atoms, written as POSCAR:
```
Er5Lu
1.0
4.9352 0.0000 0.0000
0.0000 14.8202 0.0000
0.0000 0.0000 4.9285
Er Lu
10 2
Cartesian
0.0000 0.0000 0.0000
0.0000 2.4631 2.4643
0.0000 4.9412 0.0000
0.0000 9.8790 0.0000
0.0000 12.3571 2.4643
2.4676 2.4689 0.0000
2.4676 4.9470 2.4643
2.4676 7.4101 0.0000
2.4676 9.8733 2.4643
2.4676 12.3513 0.0000
0.0000 7.4101 2.4643
2.4676 0.0000 2.4643
```

Properties
* ΔE_f: 0.0254 eV/atom

=====

6.
Here is an optimized crystal structure of ErLu3 from Alexandria via LeMat-Bulk. Energies are from GGA-PBE.

Cell and atoms, written as POSCAR:
```
ErLu3
1.0
7.0633 0.0000 0.0000
-3.5316 6.1170 0.0000
0.0000 0.0000 5.4879
Er Lu
2 6
Cartesian
0.0000 4.0780 1.3720
3.5316 2.0390 4.1159
0.0000 2.0363 4.1159
-1.7681 5.0988 4.1159
1.7635 1.0182 1.3720
1.7681 5.0988 4.1159
5.2997 1.0182 1.3720
3.5316 4.0806 1.3720
```

Properties
* ΔE_f: -0.0004 eV/atom
* relative energy among the computed polymorphs: 0.082 kcal/mol of atoms

=====

7.
Here is an optimized crystal structure of Er6Lu from Alexandria via LeMat-Bulk. Energies are from GGA-PBE.

Cell and atoms, written as POSCAR:
```
Er6Lu
1.0
8.0302 0.0000 0.0000
0.0000 8.0302 0.0000
0.0000 0.0000 8.0302
Er Lu
12 2
Cartesian
0.0000 2.0075 4.0151
0.0000 4.0151 2.0075
0.0000 4.0151 6.0226
0.0000 6.0226 4.0151
2.0075 0.0000 4.0151
2.0075 4.0151 0.0000
4.0151 0.0000 2.0075
4.0151 0.0000 6.0226
4.0151 2.0075 0.0000
4.0151 6.0226 0.0000
6.0226 0.0000 4.0151
6.0226 4.0151 0.0000
0.0000 0.0000 0.0000
4.0151 4.0151 4.0151
```

Properties
* ΔE_f: 1.6243 eV/atom

=====

8.
Here is an optimized crystal structure of ErLu6 from Alexandria via LeMat-Bulk. Energies are from GGA-PBE.

Cell and atoms, written as POSCAR:
```
ErLu6
1.0
8.0917 0.0000 0.0000
0.0000 8.0917 0.0000
0.0000 0.0000 8.0917
Er Lu
2 12
Cartesian
0.0000 0.0000 0.0000
4.0459 4.0459 4.0459
0.0000 2.0229 4.0459
0.0000 4.0459 2.0229
0.0000 4.0459 6.0688
0.0000 6.0688 4.0459
2.0229 0.0000 4.0459
2.0229 4.0459 0.0000
4.0459 0.0000 2.0229
4.0459 0.0000 6.0688
4.0459 2.0229 0.0000
4.0459 6.0688 0.0000
6.0688 0.0000 4.0459
6.0688 4.0459 0.0000
```

Properties
* ΔE_f: 1.6450 eV/atom

=====

- The highest ΔE_f belongs to which entry?
  ErLu6

=====

- Which formula does entry 5 have?
  Er5Lu

=====

- ΔE_f of number 2 (LiErZr)?
  0.1714 eV/atom

=====

- The highest ΔE_f belongs to which entry?
  ErLu6